Entry 1:
First-principles (PBE) data for a geometry-optimized CeErRuAu structure, as listed in the Alexandria database.

Results
Formation energy = -0.488 eV/atom
Space-group type = F-43m (216)
Crystal system = cubic

Unit cell a=4.9884 b=4.9884 c=4.9884 alpha=60.00 beta=60.00 gamma=60.00
Last column: nearest neighbours and their distance in Å.
Sites, in units of the cell vectors:
Ce 0.0000 0.0000 0.0000  4 Au 3.05, 4 Ru 3.05
Er 0.5000 0.5000 0.5000  4 Ru 3.05, 4 Au 3.05
Ru 0.2500 0.2500 0.2500  4 Er 3.05, 4 Ce 3.05
Au 0.7500 0.7500 0.7500  4 Er 3.05, 4 Ce 3.05


Entry 2:
First-principles (PBE) data for a geometry-optimized YTeS structure, as listed in the Alexandria database.

Results
Space-group type = Cmcm (63)
Formation energy from raw total energies = -1348 meV/atom
Crystal system = orthorhombic

Unit cell a=7.1258 b=7.1258 c=6.1423 alpha=90.00 beta=90.00 gamma=149.36
Last column: nearest neighbours and their distance in Å.
Sites, in units of the cell vectors:
Y 0.0906 0.9094 0.7500  4 S 2.73
Y 0.9094 0.0906 0.2500  4 S 2.73
Te 0.2274 0.7726 0.2500  2 Y 3.13
Te 0.7726 0.2274 0.7500  2 Y 3.13
S 0.5000 0.5000 0.0000  4 Y 2.73
S 0.5000 0.5000 0.5000  4 Y 2.73


Entry 3:
First-principles (PBE) data for a geometry-optimized Tb12Co5Pb structure, as listed in the Alexandria database.

Results
Formation energy = -0.245 eV/atom
Space-group type = Immm (71)
Crystal system = orthorhombic

Unit cell a=8.3425 b=8.3425 c=8.3425 alpha=110.83 beta=110.44 gamma=107.16
Last column: nearest neighbours and their distance in Å.
Sites, in units of the cell vectors:
Tb 0.0114 0.2042 0.8072  2 Co 2.69-2.73
Tb 0.1854 0.2937 0.4791  2 Co 2.86
Tb 0.1854 0.7063 0.8917  2 Co 2.86
Tb 0.3129 0.0060 0.6931  3 Co 2.70-2.84
Tb 0.3129 0.6198 0.3069  3 Co 2.70-2.84
Tb 0.3970 0.2042 0.1928  2 Co 2.69-2.73
Tb 0.6030 0.7958 0.8072  2 Co 2.69-2.73
Tb 0.6871 0.3802 0.6931  3 Co 2.70-2.84
Tb 0.6871 0.9940 0.3069  3 Co 2.70-2.84
Tb 0.8146 0.2937 0.1083  2 Co 2.86
Tb 0.8146 0.7063 0.5209  2 Co 2.86
Tb 0.9886 0.7958 0.1928  2 Co 2.69-2.73
Co 0.0000 0.0000 0.0000  4 Tb 2.73
Co 0.1119 0.6119 0.5000  1 Co 2.22
Co 0.3796 0.0000 0.3796  1 Co 2.29
Co 0.6204 0.0000 0.6204  1 Co 2.29
Co 0.8881 0.3881 0.5000  1 Co 2.22
Pb 0.5000 0.5000 0.0000  12 Tb 3.45-3.58


Entry 4:
First-principles (PBE) data for a geometry-optimized TmSn structure, as listed in the Alexandria database.

Results
Formation energy = -0.439 eV/atom
Space-group type = Fm-3m (225)
Crystal system = cubic

Unit cell a=4.3481 b=4.3481 c=4.3481 alpha=60.00 beta=60.00 gamma=60.00
Last column: nearest neighbours and their distance in Å.
Sites, in units of the cell vectors:
Tm 0.0000 0.0000 0.0000  6 Sn 3.07
Sn 0.5000 0.5000 0.5000  6 Tm 3.07